# 1
Computed, not measured: ZrSc2Pb at its PBEsol-relaxed geometry at the meta-GGA SCAN level of DFT.

a b c (Å): 3.3819 5.1682 6.0315
angles (deg): 115.37 106.28 90.00
Fractional positions:
Sc  0.7477  0.7477  0.4955
Sc  0.2523  0.2523  0.5045
Pb  0.0000  0.5000  0.0000
Zr  0.5000  0.0000  0.0000

calculated volume: 22.6 A^3/atom
DFT total energy: -33.98 eV/atom
ΔE_f: -1.0 eV/f.u.

=====

# 2
Computed, not measured: ZrScPb at its PBEsol-relaxed geometry at the meta-GGA SCAN level of DFT.

a b c (Å): 4.7919 4.7919 4.7919
angles (deg): 60.00 60.00 60.00
Fractional positions:
Pb  0.2500  0.2500  0.2500
Sc  0.0000  0.0000  0.0000
Zr  0.5000  0.5000  0.5000

calculated volume: 25.9 A^3/atom
DFT total energy: -40.39 eV/atom
ΔE_f: -0.5 eV/f.u.

=====

# 3
Computed, not measured: ZrSc2Pb at its PBEsol-relaxed geometry at the meta-GGA SCAN level of DFT.

a b c (Å): 4.3111 4.3111 5.6783
angles (deg): 112.31 112.31 90.00
Fractional positions:
Pb  0.2500  0.7500  0.5000
Sc  0.7500  0.2500  0.5000
Sc  0.0000  0.0000  0.0000
Zr  0.5000  0.5000  0.0000

calculated volume: 22.3 A^3/atom
DFT total energy: -34.12 eV/atom
ΔE_f: -1.5 eV/f.u.

=====

# 4
Computed, not measured: PbSe2 at its PBEsol-relaxed geometry at the meta-GGA SCAN level of DFT.

a b c (Å): 4.4379 5.6441 7.3507
angles (deg): 90.00 90.00 90.00
Fractional positions:
Pb  0.5000  0.5000  0.5000
Pb  0.0000  0.0000  0.0000
Se  0.5000  0.3432  0.1076
Se  0.0000  0.1568  0.6076
Se  0.0000  0.8432  0.3924
Se  0.5000  0.6568  0.8924

calculated volume: 30.7 A^3/atom
formation energy without anion corrections: -305 meV/atom
DFT total energy: -38.95 eV/atom

=====

# 5
Computed, not measured: PbSe2 at its PBEsol-relaxed geometry at the meta-GGA SCAN level of DFT.

a b c (Å): 4.4241 5.5003 8.4033
angles (deg): 108.33 90.00 113.71
Fractional positions:
Se  0.1247  0.2494  0.5336
Se  0.8753  0.7506  0.4664
Se  0.4973  0.9947  0.1408
Se  0.5027  0.0053  0.8592
Pb  0.2083  0.4167  0.2283
Pb  0.7917  0.5833  0.7717

calculated volume: 29.3 A^3/atom
formation energy without anion corrections: -298 meV/atom
DFT total energy: -38.94 eV/atom

=====

# 6
Computed, not measured: PbSe2 at its PBEsol-relaxed geometry at the meta-GGA SCAN level of DFT.

a b c (Å): 5.9290 5.9290 5.9290
angles (deg): 98.88 115.01 115.01
Fractional positions:
Se  0.5000  0.8673  0.6327
Se  0.5000  0.1327  0.3673
Se  0.2346  0.3673  0.8673
Se  0.7654  0.6327  0.1327
Pb  0.0000  0.2500  0.2500
Pb  0.0000  0.7500  0.7500

calculated volume: 26.1 A^3/atom
formation energy without anion corrections: -341 meV/atom
DFT total energy: -38.99 eV/atom

=====

# 7
Computed, not measured: PbSe at its PBEsol-relaxed geometry at the meta-GGA SCAN level of DFT.

a b c (Å): 4.2232 4.4163 6.2440
angles (deg): 90.03 109.77 90.00
Fractional positions:
Pb  0.3730  0.2503  0.7461
Pb  0.6270  0.7497  0.2539
Se  0.1331  0.2496  0.2662
Se  0.8669  0.7504  0.7338

calculated volume: 27.4 A^3/atom
formation energy without anion corrections: -524 meV/atom
DFT total energy: -48.45 eV/atom

=====

# 8
Computed, not measured: PbSe at its PBEsol-relaxed geometry at the meta-GGA SCAN level of DFT.

a b c (Å): 4.1463 4.1463 8.3976
angles (deg): 75.71 75.71 60.00
Fractional positions:
Pb  0.8885  0.8885  0.3346
Pb  0.1115  0.1115  0.6654
Se  0.6159  0.6159  0.1524
Se  0.3841  0.3841  0.8476

calculated volume: 30.0 A^3/atom
formation energy without anion corrections: -374 meV/atom
DFT total energy: -48.30 eV/atom

=====

# 9
Computed, not measured: PbSe at its PBEsol-relaxed geometry at the meta-GGA SCAN level of DFT.

a b c (Å): 4.1959 6.1362 7.7528
angles (deg): 67.65 74.30 70.01
Fractional positions:
Se  0.9899  0.6124  0.4077
Se  0.8068  0.3327  0.0538
Se  0.6430  0.0190  0.6950
Pb  0.4014  0.5092  0.6881
Pb  0.0744  0.8717  0.9795
Pb  0.2513  0.1549  0.3425

calculated volume: 28.5 A^3/atom
formation energy without anion corrections: -495 meV/atom
DFT total energy: -48.43 eV/atom

=====

# 10
Computed, not measured: PbSe at its PBEsol-relaxed geometry at the meta-GGA SCAN level of DFT.

a b c (Å): 4.3126 4.3116 7.1386
angles (deg): 107.59 107.58 89.99
Fractional positions:
Pb  0.1496  0.1326  0.2820
Pb  0.8675  0.8507  0.7180
Se  0.3657  0.3485  0.7144
Se  0.6513  0.6341  0.2856

calculated volume: 30.0 A^3/atom
formation energy without anion corrections: -489 meV/atom
DFT total energy: -48.42 eV/atom

=====

# 11
Computed, not measured: PbSe2 at its PBEsol-relaxed geometry at the meta-GGA SCAN level of DFT.

a b c (Å): 5.3406 5.3406 5.7634
angles (deg): 90.00 90.00 120.00
Fractional positions:
Se  0.6667  0.3333  0.2500
Se  0.0000  0.0000  0.0000
Se  0.0000  0.0000  0.5000
Se  0.3333  0.6667  0.7500
Pb  0.3333  0.6667  0.2500
Pb  0.6667  0.3333  0.7500

calculated volume: 23.7 A^3/atom
formation energy without anion corrections: 45 meV/atom
DFT total energy: -38.60 eV/atom

=====

# 12
Computed, not measured: PbSe at its PBEsol-relaxed geometry at the meta-GGA SCAN level of DFT.

a b c (Å): 4.3078 4.3078 4.3078
angles (deg): 60.00 60.00 60.00
Fractional positions:
Pb  0.0000  0.0000  0.0000
Se  0.5000  0.5000  0.5000

calculated volume: 28.3 A^3/atom
formation energy without anion corrections: -568 meV/atom
DFT total energy: -48.50 eV/atom

=====

| no. | magnetization (μB per cell) | mass density (Mg/m³) |
| --- | --- | --- |
| 1 | 0.00 | 7.1 |
| 2 | 1.61 | 7.3 |
| 3 | 0.67 | 7.2 |
| 4 | 0.00 | 6.6 |
| 5 | 0.00 | 6.9 |
| 6 | 0.00 | 7.8 |
| 7 | 0.00 | 8.7 |
| 8 | 0.00 | 7.9 |
| 9 | 0.00 | 8.3 |
| 10 | 0.00 | 7.9 |
| 11 | 0.00 | 8.5 |
| 12 | 0.00 | 8.4 |